Entry 1:
Be2GeBN: optimized geometry, PBE-GGA.

Cell lengths 4.3149, 4.3149, 3.8184 Å; angles 90.00, 90.00, 90.00 degrees
Last column: nearest neighbours and their distance in Å.
Fractional coordinates of all 5 atoms:
1 Be 0.0000 0.5000 0.0000  2 Ge 2.16
2 Be 0.5000 0.0000 0.0000  2 Ge 2.16
3 Ge 0.0000 0.0000 0.0000  2 N 1.91
4 B 0.5000 0.5000 0.5000  8 Be 2.88, 4 N 3.05
5 N 0.0000 0.0000 0.5000  2 Ge 1.91

Properties
energy relative to the elements, uncorrected: 2.007 eV per atom
space-group type: P4/mmm, No. 123
magnetic moment: 0.31 μB per formula unit
total DFT energy (no corrections): -3.4073 eV/atom

Entry 2:
KH3Pd3: optimized geometry, PBE-GGA.

Cell lengths 8.5774, 8.5774, 8.5774 Å; angles 34.77, 34.77, 34.77 degrees
Last column: nearest neighbours and their distance in Å.
Fractional coordinates of all 14 atoms:
1 K 0.1666 0.1666 0.1666  6 H 2.79-2.80, 3 K 2.96
2 K 0.8334 0.8334 0.8334  6 H 2.79-2.80, 3 K 2.96
3 H 0.0746 0.4093 0.7414  3 Pd 1.82-1.83
4 H 0.2586 0.9254 0.5907  3 Pd 1.82-1.83
5 H 0.4093 0.7414 0.0746  3 Pd 1.82-1.83
6 H 0.5907 0.2586 0.9254  3 Pd 1.82-1.83
7 H 0.7414 0.0746 0.4093  3 Pd 1.82-1.83
8 H 0.9254 0.5907 0.2586  3 Pd 1.82-1.83
9 Pd 0.0509 0.7138 0.3812  3 H 1.82-1.83
10 Pd 0.2862 0.6188 0.9491  3 H 1.82-1.83
11 Pd 0.3812 0.0509 0.7138  3 H 1.82-1.83
12 Pd 0.6188 0.9491 0.2862  3 H 1.82-1.83
13 Pd 0.7138 0.3812 0.0509  3 H 1.82-1.83
14 Pd 0.9491 0.2862 0.6188  3 H 1.82-1.83

Properties
distance to the lowest polymorph of the same formula: 0 meV/atom
space-group type: R-3, No. 148
magnetic moment: 0.00 μB per formula unit
total DFT energy (no corrections): -3.9468 eV/atom

Entry 3:
Rb3MnI6: optimized geometry, PBE-GGA.

Cell lengths 12.8381, 12.8381, 6.7474 Å; angles 90.00, 90.00, 103.75 degrees
Last column: nearest neighbours and their distance in Å.
Fractional coordinates of all 20 atoms:
1 Rb 0.1088 0.8912 0.5000  7 I 3.73-3.95, 1 Mn 3.88
2 Rb 0.1985 0.4462 0.9342  6 I 3.65-3.98
3 Rb 0.4462 0.1985 0.4342  6 I 3.65-3.98
4 Rb 0.5538 0.8015 0.9342  6 I 3.65-3.98
5 Rb 0.8015 0.5538 0.4342  6 I 3.65-3.98
6 Rb 0.8912 0.1088 0.0000  7 I 3.73-3.95, 1 Mn 3.88
7 Mn 0.2956 0.7044 0.3668  4 I 2.68-2.72
8 Mn 0.7044 0.2956 0.8668  4 I 2.68-2.72
9 I 0.0877 0.6260 0.2586  1 Mn 2.72
10 I 0.1676 0.1704 0.2223  2 I 3.37, 1 Rb 3.76
11 I 0.1704 0.1676 0.7223  2 I 3.37, 1 Rb 3.76
12 I 0.2770 0.7230 0.7603  1 Mn 2.68
13 I 0.3740 0.9123 0.2586  1 Mn 2.72
14 I 0.4246 0.5754 0.2714  1 Mn 2.68
15 I 0.5754 0.4246 0.7714  1 Mn 2.68
16 I 0.6260 0.0877 0.7586  1 Mn 2.72
17 I 0.7230 0.2770 0.2603  1 Mn 2.68
18 I 0.8296 0.8324 0.2223  2 I 3.37, 1 Rb 3.76
19 I 0.8324 0.8296 0.7223  2 I 3.37, 1 Rb 3.76
20 I 0.9123 0.3740 0.7586  1 Mn 2.72

Properties
distance to the lowest polymorph of the same formula: 0 meV/atom
energy relative to the elements, uncorrected: -1.012 eV per atom
space-group type: Cmc2_1, No. 36
magnetic moment: 5.00 μB per formula unit
total DFT energy (no corrections): -3.1497 eV/atom

Entry 4:
Tb4AlAg2Pd: optimized geometry, PBE-GGA.

Cell lengths 8.8484, 8.8484, 8.8484 Å; angles 33.59, 33.59, 33.59 degrees
Last column: nearest neighbours and their distance in Å.
Fractional coordinates of all 8 atoms:
1 Tb 0.1202 0.1202 0.1202  1 Pd 3.01, 4 Ag 3.04-3.06, 3 Al 3.17
2 Tb 0.3718 0.3718 0.3718  3 Pd 3.11, 1 Al 3.21, 4 Ag 3.23-3.24
3 Tb 0.6282 0.6282 0.6282  3 Pd 3.11, 1 Al 3.21, 4 Ag 3.23-3.24
4 Tb 0.8798 0.8798 0.8798  1 Pd 3.01, 4 Ag 3.04-3.06, 3 Al 3.17
5 Al 0.5000 0.5000 0.5000  8 Tb 3.17-3.21, 6 Ag 3.51
6 Ag 0.2423 0.2423 0.2423  8 Tb 3.04-3.24
7 Ag 0.7577 0.7577 0.7577  8 Tb 3.04-3.24
8 Pd 0.0000 0.0000 0.0000  8 Tb 3.01-3.11

Properties
energy relative to the elements: -0.476 eV/atom
space-group type: R-3m, No. 166
magnetic moment: 0.00 μB per formula unit
total DFT energy (no corrections): -4.6207 eV/atom

Entry 5:
ScBeV2Mo: optimized geometry, PBE-GGA.

Cell lengths 4.2024, 4.2024, 4.4439 Å; angles 90.00, 90.00, 90.00 degrees
Last column: nearest neighbours and their distance in Å.
Fractional coordinates of all 5 atoms:
1 Sc 0.0000 0.0000 0.0000  4 Mo 2.97, 8 V 3.06
2 Be 0.5000 0.5000 0.5000  4 V 2.10, 2 Mo 2.22
3 V 0.0000 0.5000 0.5000  2 Be 2.10
4 V 0.5000 0.0000 0.5000  2 Be 2.10
5 Mo 0.5000 0.5000 0.0000  2 Be 2.22

Properties
energy relative to the elements: 0.591 eV/atom
space-group type: P4/mmm, No. 123
magnetic moment: 0.00 μB per formula unit
total DFT energy (no corrections): -7.2342 eV/atom

Entry 6:
Ba2ScAgSn: optimized geometry, PBE-GGA.

Cell lengths 6.1748, 6.1748, 5.3738 Å; angles 90.00, 90.00, 90.00 degrees
Last column: nearest neighbours and their distance in Å.
Fractional coordinates of all 5 atoms:
1 Ba 0.0000 0.5000 0.0000  2 Ag 3.09
2 Ba 0.5000 0.0000 0.0000  2 Ag 3.09
3 Sc 0.0000 0.0000 0.5000  2 Ag 2.69
4 Ag 0.0000 0.0000 0.0000  2 Sc 2.69
5 Sn 0.5000 0.5000 0.5000  8 Ba 4.09, 4 Sc 4.37

Properties
energy relative to the elements: 0.108 eV/atom
space-group type: P4/mmm, No. 123
magnetic moment: 0.00 μB per formula unit
total DFT energy (no corrections): -3.2984 eV/atom